11
Lattice="6.881 -2.066 0.000 6.881 2.066 0.000 -1.883 0.000 5.827" Properties=species:S:1:pos:R:3 comment="Al2GaPd8, optimized geometry, DFT PBE-GGA" formation_enthalpy_0k_ev_per_atom=-0.61 polymorph_energy_mev_per_atom=0 pbc="T T T"
Al 2.533 0.000 0.971
Al 9.347 0.000 4.856
Ga 5.940 0.000 2.913
Pd 0.007 0.000 1.452
Pd 0.913 0.000 4.306
Pd 3.447 0.000 3.274
Pd 5.418 0.000 0.202
Pd 6.462 0.000 5.624
Pd 8.433 0.000 2.553
Pd 10.967 0.000 1.520
Pd 11.873 0.000 4.374


8
Lattice="-3.853 3.853 2.787 3.853 -3.853 2.787 3.853 3.853 -2.787" Properties=species:S:1:pos:R:3 comment="MnAl2Br, optimized geometry, DFT PBE-GGA" polymorph_energy_mev_per_atom=385 e_form_raw_mev_per_atom=429 pbc="T T T"
Mn 0.000 0.000 0.000
Mn 0.000 3.853 1.394
Al 1.926 1.668 -0.697
Al 2.185 -1.926 3.484
Al 1.926 2.185 2.090
Al 1.668 5.779 0.697
Br 3.853 0.000 1.394
Br 0.000 0.000 2.787


12
Lattice="0.000 4.869 4.009 4.538 0.000 4.009 4.538 4.869 0.000" Properties=species:S:1:pos:R:3 comment="TbEr3C8, optimized geometry, DFT PBE-GGA" formation_enthalpy_0k_ev_per_atom=0.12 pbc="T T T"
Tb 0.000 0.000 0.000
Er 2.269 2.434 1.716
Er 4.538 4.869 4.098
Er 6.807 7.303 5.724
C 6.025 4.869 2.157
C 4.538 2.375 3.122
C 6.781 4.869 5.152
C 3.051 4.869 2.157
C 4.538 3.262 6.065
C 4.538 7.363 3.122
C 2.295 4.869 5.152
C 4.538 6.476 6.065


19
Lattice="5.953 3.437 5.016 -5.953 3.437 5.016 0.000 -6.874 5.016" Properties=species:S:1:pos:R:3 comment="Pm6Ho12Sc, optimized geometry, DFT PBE-GGA" formation_enthalpy_0k_ev_per_atom=0.15 pbc="T T T"
Pm -2.368 -2.507 7.707
Pm -3.355 0.797 7.340
Pm 0.988 -3.304 7.340
Pm -0.988 3.304 7.707
Pm 3.355 -0.797 7.707
Pm 2.368 2.507 7.340
Ho -1.408 -5.385 6.301
Ho -5.368 -1.473 8.747
Ho -0.885 -1.823 4.671
Ho -3.960 3.912 6.301
Ho -1.137 1.678 4.671
Ho 2.022 0.145 4.671
Ho -2.022 -0.145 10.377
Ho 1.137 -1.678 10.377
Ho 3.960 -3.912 8.747
Ho 0.885 1.823 10.377
Ho 5.368 1.473 6.301
Ho 1.408 5.385 8.747
Sc 0.000 0.000 7.524


5
Lattice="5.153 0.000 0.000 0.000 5.153 0.000 0.000 0.000 4.254" Properties=species:S:1:pos:R:3 comment="BeZnCuBi2, optimized geometry, DFT PBE-GGA" formation_enthalpy_0k_ev_per_atom=0.57 pbc="T T T"
Be 0.000 0.000 0.000
Zn 0.000 0.000 2.127
Cu 2.576 2.576 2.127
Bi 0.000 2.576 0.000
Bi 2.576 0.000 0.000


10
Lattice="4.159 -5.659 0.000 4.159 5.659 0.000 0.000 0.000 7.206" Properties=species:S:1:pos:R:3 comment="Y2HoErTm, optimized geometry, DFT PBE-GGA" formation_enthalpy_0k_ev_per_atom=0.42 pbc="T T T"
Y 1.601 0.000 0.000
Y 1.601 0.000 3.603
Y 6.717 0.000 0.000
Y 6.717 0.000 3.603
Ho 4.159 3.101 5.404
Ho 4.159 -3.101 1.801
Er 4.159 3.113 1.801
Er 4.159 -3.113 5.404
Tm 4.159 0.002 1.801
Tm 4.159 -0.002 5.404


4
Lattice="1.792 1.034 10.414 -1.792 1.034 10.414 0.000 -2.069 10.414" Properties=species:S:1:pos:R:3 comment="MnAsBr2, optimized geometry, DFT PBE-GGA" polymorph_energy_mev_per_atom=229 e_form_raw_mev_per_atom=1 pbc="T T T"
Mn 0.000 0.000 0.000
As 0.000 0.000 15.621
Br 0.000 0.000 12.057
Br 0.000 0.000 19.185


5
Lattice="4.629 0.000 0.000 0.000 4.629 0.000 0.000 0.000 4.748" Properties=species:S:1:pos:R:3 comment="YMn2CuBr, optimized geometry, DFT PBE-GGA" e_form_raw_mev_per_atom=718 pbc="T T T"
Y 0.000 0.000 0.000
Mn 0.000 2.315 2.374
Mn 2.315 0.000 2.374
Cu 2.315 2.315 0.000
Br 2.315 2.315 2.374


9
Lattice="8.851 0.000 0.000 -4.426 7.665 0.000 0.000 0.000 3.349" Properties=species:S:1:pos:R:3 comment="NaCe2Hg6, optimized geometry, DFT PBE-GGA" formation_enthalpy_0k_ev_per_atom=-0.30 polymorph_energy_mev_per_atom=0 pbc="T T T"
Na 0.000 0.000 0.000
Ce 0.000 5.110 0.000
Ce 4.426 2.555 0.000
Hg -1.463 2.534 1.674
Hg -2.962 5.131 1.674
Hg 2.926 0.000 1.674
Hg 1.463 2.534 1.674
Hg 5.925 0.000 1.674
Hg 2.962 5.131 1.674


19
Lattice="5.597 3.231 4.868 -5.597 3.231 4.868 0.000 -6.462 4.868" Properties=species:S:1:pos:R:3 comment="Na12LiHg6, optimized geometry, DFT PBE-GGA" formation_enthalpy_0k_ev_per_atom=-0.18 pbc="T T T"
Na -5.010 1.094 6.147
Na -3.452 -3.792 8.456
Na -1.953 -0.342 4.610
Na 1.558 -4.885 6.147
Na 1.272 -1.520 4.610
Na 0.680 1.862 4.610
Na -0.680 -1.862 9.994
Na -1.272 1.520 9.994
Na -1.558 4.885 8.456
Na 1.953 0.342 9.994
Na 3.452 3.792 6.147
Na 5.010 -1.094 8.456
Li 0.000 0.000 7.302
Hg -0.851 -2.836 6.724
Hg -2.881 -0.681 7.880
Hg -2.030 2.155 6.724
Hg 2.030 -2.155 7.880
Hg 2.881 0.681 6.724
Hg 0.851 2.836 7.880


5
Lattice="7.709 0.000 0.000 0.000 7.709 0.000 0.000 0.000 6.795" Properties=species:S:1:pos:R:3 comment="RbSb2IrI, optimized geometry, DFT PBE-GGA" polymorph_energy_mev_per_atom=2059 e_form_raw_mev_per_atom=2041 pbc="T T T"
Rb 0.000 0.000 0.000
Sb 0.000 3.855 0.000
Sb 3.855 0.000 0.000
Ir 3.855 3.855 3.398
I 0.000 0.000 3.398


10
Lattice="6.691 -2.214 0.000 6.691 2.214 0.000 -1.484 0.000 5.216" Properties=species:S:1:pos:R:3 comment="ReTcMo3, optimized geometry, DFT PBE-GGA" formation_enthalpy_0k_ev_per_atom=0.07 polymorph_energy_mev_per_atom=0 pbc="T T T"
Re 0.000 0.000 0.000
Re -0.742 0.000 2.608
Tc 2.260 0.000 1.596
Tc 9.638 0.000 3.620
Mo 1.466 0.000 4.162
Mo 5.173 0.000 0.500
Mo 4.498 0.000 3.172
Mo 7.400 0.000 2.044
Mo 6.725 0.000 4.716
Mo 10.432 0.000 1.054


3
Lattice="-1.684 1.684 6.337 1.684 -1.684 6.337 1.684 1.684 -6.337" Properties=species:S:1:pos:R:3 comment="PuAlTl, optimized geometry, DFT PBE-GGA" formation_enthalpy_0k_ev_per_atom=0.02 pbc="T T T"
Pu 0.000 0.000 0.000
Al 0.000 0.000 8.344
Tl 0.000 0.000 3.913


4
Lattice="0.000 3.676 3.693 3.654 0.000 3.693 3.654 3.676 0.000" Properties=species:S:1:pos:R:3 comment="Tl2AgAs, optimized geometry, DFT PBE-GGA" formation_enthalpy_0k_ev_per_atom=0.18 polymorph_energy_mev_per_atom=163 pbc="T T T"
Tl 0.000 0.000 0.000
Tl 1.827 1.838 1.846
Ag 3.654 3.676 3.693
As 5.481 5.514 5.539


10
Lattice="6.906 0.000 0.000 0.000 7.108 0.000 0.000 0.000 6.736" Properties=species:S:1:pos:R:3 comment="BaCdSb3, optimized geometry, DFT PBE-GGA" polymorph_energy_mev_per_atom=0 e_form_raw_mev_per_atom=-359 pbc="T T T"
Ba 0.000 1.703 0.000
Ba 3.453 5.405 3.368
Cd 0.000 4.442 2.265
Cd 3.453 2.666 5.633
Sb 0.000 6.380 4.417
Sb 1.677 2.026 3.213
Sb 1.776 5.083 6.581
Sb 3.453 0.728 1.049
Sb 5.130 5.083 6.581
Sb 5.229 2.026 3.213


4
Lattice="0.000 3.208 3.208 3.208 0.000 3.208 3.208 3.208 0.000" Properties=species:S:1:pos:R:3 comment="Nb2HgH, optimized geometry, DFT PBE-GGA" polymorph_energy_mev_per_atom=680 pbc="T T T"
Nb 1.604 1.604 1.604
Nb 4.812 4.812 4.812
Hg 0.000 0.000 0.000
H 3.208 3.208 3.208


4
Lattice="5.541 0.000 0.000 0.000 5.541 0.000 0.000 0.000 2.855" Properties=species:S:1:pos:R:3 comment="BaZrRe2, optimized geometry, DFT PBE-GGA" formation_enthalpy_0k_ev_per_atom=1.29 polymorph_energy_mev_per_atom=771 pbc="T T T"
Ba 0.000 0.000 0.000
Zr 2.770 2.770 0.000
Re 0.000 2.770 1.428
Re 2.770 0.000 1.428


5
Lattice="4.564 0.000 0.000 0.000 4.564 0.000 0.000 0.000 4.564" Properties=species:S:1:pos:R:3 comment="TaSi3Tc, optimized geometry, DFT PBE-GGA" polymorph_energy_mev_per_atom=0 e_form_raw_mev_per_atom=1032 pbc="T T T"
Ta 0.000 0.000 0.000
Si 0.000 2.282 2.282
Si 2.282 0.000 2.282
Si 2.282 2.282 0.000
Tc 2.282 2.282 2.282


18
Lattice="2.767 -11.981 0.000 2.767 11.981 0.000 0.000 0.000 9.302" Properties=species:S:1:pos:R:3 comment="AcTbDy5Y2, optimized geometry, DFT PBE-GGA" formation_enthalpy_0k_ev_per_atom=0.15 pbc="T T T"
Ac 2.767 9.528 4.651
Ac 2.767 -9.528 0.000
Tb 2.767 5.796 1.030
Tb 2.767 -5.796 5.681
Dy 2.767 11.423 7.586
Dy 2.767 9.518 0.894
Dy 2.767 7.363 7.416
Dy 2.767 6.162 4.091
Dy 2.767 0.188 5.469
Dy 2.767 -0.188 0.819
Dy 2.767 -6.162 8.742
Dy 2.767 -7.363 2.765
Dy 2.767 -9.518 5.545
Dy 2.767 -11.423 2.935
Y 2.767 4.042 6.981
Y 2.767 2.708 3.217
Y 2.767 -2.708 7.868
Y 2.767 -4.042 2.331


6
Lattice="5.926 0.000 0.000 -2.963 5.132 0.000 0.000 0.000 9.390" Properties=species:S:1:pos:R:3 comment="KNaBi, optimized geometry, DFT PBE-GGA" formation_enthalpy_0k_ev_per_atom=-0.14 polymorph_energy_mev_per_atom=179 pbc="T T T"
K 0.000 0.000 2.310
K 0.000 0.000 7.079
Na 0.000 3.421 4.695
Na 2.963 1.711 0.000
Bi 0.000 3.421 1.542
Bi 0.000 3.421 7.847


Number 1: energy -0.3927 Ry/atom. Number 2: energy -0.3052 Ry/atom. Number 3: energy -0.5551 Ry/atom. Number 4: energy -0.3362 Ry/atom. Number 5: energy -0.2059 Ry/atom. Number 6: energy -0.3596 Ry/atom. Number 7: energy -0.3153 Ry/atom. Number 8: energy -0.3967 Ry/atom. Number 9: energy -0.1445 Ry/atom. Number 10: energy -0.0885 Ry/atom. Number 11: energy -0.1384 Ry/atom. Number 12: energy -0.8077 Ry/atom. Number 13: energy -0.4995 Ry/atom. Number 14: energy -0.2119 Ry/atom. Number 15: energy -0.2499 Ry/atom. Number 16: energy -0.3783 Ry/atom. Number 17: energy -0.5548 Ry/atom. Number 18: energy -0.4899 Ry/atom. Number 19: energy -0.3538 Ry/atom. Number 20: energy -0.1645 Ry/atom.